# Rb2ZrCrF6

An optimized crystal structure of Rb2ZrCrF6 (PBE+U, the Alexandria database).

a b c (Å): 6.4277 6.4277 6.4325
angles (deg): 60.02 60.02 90.00
Positions (direct):
Cr 0.5000 0.5000 0.0000
Rb 0.7500 0.2500 0.5000
Rb 0.2500 0.7500 0.5000
Zr 0.0000 0.0000 0.0000
F 0.2273 0.2273 0.5453
F 0.7727 0.7727 0.4547
F 0.2381 0.2381 0.0000
F 0.7619 0.7619 0.0000
F 0.7619 0.2381 0.0000
F 0.2381 0.7619 0.0000

Raw total energy ... -5.61 eV/atom